# CdSeCl2, relaxed, DFT GGA-PBE
data_CdSeCl2
_chemical_formula_sum 'Cd1 Se1 Cl2'
_cell_length_a 5.226
_cell_length_b 5.226
_cell_length_c 5.226
_cell_angle_alpha 125.46
_cell_angle_beta 125.46
_cell_angle_gamma 80.77
_space_group_name_H-M_alt 'P 1'
_space_group_IT_number 1
loop_
_space_group_symop_operation_xyz
'x,y,z'
loop_
_atom_site_label
_atom_site_fract_x
_atom_site_fract_y
_atom_site_fract_z
_atom_site_occupancy
Cd1 0.000 0.000 0.000 1
Se1 0.500 0.500 0.000 1
Cl1 0.250 0.750 0.500 1
Cl2 0.750 0.250 0.500 1
# Magnetization, μB per atom: 0.50
# Raw formation energy, eV per atom: 0.131
# Fermi-level density of states, states/eV per cell: 1.832
# Volume, Å³ per cell: 91.28
# Calculated total energy, eV per atom: -1.89
# Energy above the lowest structure with this stoichiometry, eV/f.u.: 2.67

---

# Tb13Pb2, relaxed, DFT GGA-PBE
data_Tb13Pb2
_chemical_formula_sum 'Tb13 Pb2'
_cell_length_a 6.885
_cell_length_b 8.498
_cell_length_c 8.939
_cell_angle_alpha 66.65
_cell_angle_beta 77.89
_cell_angle_gamma 83.41
_space_group_name_H-M_alt 'P 1'
_space_group_IT_number 1
loop_
_space_group_symop_operation_xyz
'x,y,z'
loop_
_atom_site_label
_atom_site_fract_x
_atom_site_fract_y
_atom_site_fract_z
_atom_site_occupancy
Tb1 0.000 0.000 0.000 1
Tb2 0.120 0.479 0.739 1
Tb3 0.192 0.226 0.153 1
Tb4 0.268 0.935 0.588 1
Tb5 0.314 0.656 0.971 1
Tb6 0.373 0.410 0.387 1
Tb7 0.486 0.143 0.797 1
Tb8 0.514 0.857 0.203 1
Tb9 0.627 0.590 0.613 1
Tb10 0.686 0.344 0.029 1
Tb11 0.732 0.065 0.412 1
Tb12 0.808 0.774 0.847 1
Tb13 0.880 0.521 0.261 1
Pb1 0.061 0.775 0.383 1
Pb2 0.939 0.225 0.617 1
# Magnetization, μB per atom: 0.00
# Fermi-level density of states, states/eV per cell: 20.424
# Formation energy from the elements, eV per formula unit: -1.68
# Volume, Å³ per cell: 469.22
# Calculated total energy, eV per atom: -4.62

---

# Rb6Te2O, relaxed, DFT GGA-PBE
data_Rb6Te2O
_chemical_formula_sum 'Rb6 Te2 O1'
_cell_length_a 4.813
_cell_length_b 9.196
_cell_length_c 9.196
_cell_angle_alpha 119.95
_cell_angle_beta 90.00
_cell_angle_gamma 90.00
_space_group_name_H-M_alt 'P 1'
_space_group_IT_number 1
loop_
_space_group_symop_operation_xyz
'x,y,z'
loop_
_atom_site_label
_atom_site_fract_x
_atom_site_fract_y
_atom_site_fract_z
_atom_site_occupancy
Rb1 0.000 0.000 0.000 1
Rb2 0.000 0.558 0.779 1
Rb3 0.000 0.779 0.558 1
Rb4 0.500 0.182 0.779 1
Rb5 0.500 0.375 0.375 1
Rb6 0.500 0.779 0.182 1
Te1 0.000 0.112 0.446 1
Te2 0.000 0.446 0.112 1
O1 0.500 0.780 0.780 1
# Magnetization, μB per atom: 0.01
# Raw formation energy, eV per atom: -0.878
# Volume, Å³ per cell: 352.67
# Calculated total energy, eV per atom: -2.77
# Energy above the lowest structure with this stoichiometry, eV/f.u.: 0.98

---

# Ti8H2O, relaxed, DFT GGA-PBE
data_Ti8H2O
_chemical_formula_sum 'Ti8 H2 O1'
_cell_length_a 5.745
_cell_length_b 5.745
_cell_length_c 4.876
_cell_angle_alpha 91.07
_cell_angle_beta 91.07
_cell_angle_gamma 66.48
_space_group_name_H-M_alt 'P 1'
_space_group_IT_number 1
loop_
_space_group_symop_operation_xyz
'x,y,z'
loop_
_atom_site_label
_atom_site_fract_x
_atom_site_fract_y
_atom_site_fract_z
_atom_site_occupancy
Ti1 0.121 0.654 0.791 1
Ti2 0.144 0.144 0.700 1
Ti3 0.346 0.879 0.209 1
Ti4 0.362 0.362 0.267 1
Ti5 0.638 0.638 0.733 1
Ti6 0.654 0.121 0.791 1
Ti7 0.856 0.856 0.300 1
Ti8 0.879 0.346 0.209 1
H1 0.338 0.338 0.648 1
H2 0.662 0.662 0.352 1
O1 0.000 0.000 0.000 1
# Magnetization, μB per atom: 0.00
# Fermi-level density of states, states/eV per cell: 10.456
# Volume, Å³ per cell: 147.51
# Calculated total energy, eV per atom: -7.43